The following is a DFT calculation (GGA-PBE) of a relaxed structure of PmY3Ga2.

Geometry as extended XYZ:
```
12
Lattice="4.982 0.000 0.000 0.000 9.594 0.000 0.000 0.000 6.643" Properties=species:S:1:pos:R:3 pbc="T T T"
Pm 0.000 0.483 0.000
Pm 0.000 9.111 3.322
Y 0.000 3.109 4.186
Y 0.000 6.486 0.864
Y 2.491 1.764 1.934
Y 2.491 4.280 6.144
Y 2.491 5.315 2.823
Y 2.491 7.831 5.256
Ga 0.000 3.475 1.135
Ga 0.000 6.119 4.456
Ga 2.491 1.351 4.978
Ga 2.491 8.244 1.656
```

Summary:
distance to the lowest polymorph of the same formula = 0.000 eV/atom
density = 5.76 Mg/m³
symmetry = No. 26
calculated formation energy = -437.0 meV/atom
total energy = -5.470 eV/atom